Entry 1:
A relaxed structure of GaSiCl, computed with GGA-PBE.

Unit cell a=11.3976 b=4.0151 c=7.8542 alpha=90.00 beta=132.12 gamma=90.00
Last column: nearest neighbours and their distance in Å.
Space group C2 (No. 5)
Symmetry-distinct sites (fractional):
Ga (0.0000, 0.0000, 0.0000) [2 per cell]  2 Si 2.46, 4 Cl 2.64-2.67
Ga (0.0000, 0.4967, 0.5000) [2 per cell]  2 Si 2.49, 2 Cl 2.65
Si (0.2440, 0.9967, 0.4075) [4 per cell]  2 Si 2.43, 2 Ga 2.46-2.49
Cl (0.1126, 0.4961, 0.9246) [4 per cell]  3 Ga 2.64-2.67

Results
Calculated density = 3.320 g cm⁻³
Volume = 267 Å³/cell
Energy relative to the elements, uncorrected = -309 meV/atom
Energy above the lowest structure with this stoichiometry = 101.2 meV/atom
Total magnetization = 0.000 μB/cell

---

Entry 2:
A relaxed structure of GaSiCl, computed with GGA-PBE.

Unit cell a=11.8079 b=4.0757 c=7.5588 alpha=90.00 beta=120.16 gamma=90.00
Last column: nearest neighbours and their distance in Å.
Space group Cm (No. 8)
Symmetry-distinct sites (fractional):
Ga (0.0000, 0.0000, 0.0000) [2 per cell]  1 Si 2.48, 2 Ga 2.48, 1 Cl 2.69
Ga (0.1123, 0.5000, 0.9770) [2 per cell]  1 Si 2.44, 2 Ga 2.48
Si (0.2206, 0.0000, 0.6475) [2 per cell]  2 Cl 2.12-2.16
Si (0.2576, 0.5000, 0.8348) [2 per cell]  2 Si 2.39, 2 Ga 2.44-2.48
Cl (0.0287, 0.0000, 0.3760) [2 per cell]  1 Si 2.16
Cl (0.3410, 0.0000, 0.5140) [2 per cell]  1 Si 2.12

Results
Calculated density = 2.814 g cm⁻³
Volume = 315 Å³/cell
Energy relative to the elements, uncorrected = -288 meV/atom
Energy above the lowest structure with this stoichiometry = 122.2 meV/atom
Total magnetization = 0.000 μB/cell

---

Entry 3:
A relaxed structure of GaSi2Cl, computed with GGA-PBE.

Unit cell a=5.6358 b=5.6358 c=12.7086 alpha=90.00 beta=90.00 gamma=90.00
Last column: nearest neighbours and their distance in Å.
Space group I-42d (No. 122)
Symmetry-distinct sites (fractional):
Ga (0.0000, 0.0000, 0.0000) [4 per cell]  4 Si 2.44
Si (0.2150, 0.2500, 0.1250) [8 per cell]  2 Ga 2.44, 2 Cl 2.66
Cl (0.0000, 0.0000, 0.5000) [4 per cell]  4 Si 2.66

Results
Calculated density = 2.655 g cm⁻³
Volume = 404 Å³/cell
Energy relative to the elements, uncorrected = 556 meV/atom
Energy above the lowest structure with this stoichiometry = 52.0 meV/atom
Total magnetization = 0.000 μB/cell

---

Entry 4:
A relaxed structure of GaSi2Cl, computed with GGA-PBE.

Unit cell a=6.5632 b=6.5632 c=6.5632 alpha=90.00 beta=90.00 gamma=90.00
Last column: nearest neighbours and their distance in Å.
Space group Fm-3m (No. 225)
Symmetry-distinct sites (fractional):
Ga (0.0000, 0.0000, 0.0000) [4 per cell]  8 Si 2.84
Si (0.2500, 0.2500, 0.2500) [8 per cell]  4 Ga 2.84, 4 Cl 2.84
Cl (0.0000, 0.0000, 0.5000) [4 per cell]  8 Si 2.84

Results
Calculated density = 3.791 g cm⁻³
Volume = 283 Å³/cell
Energy relative to the elements, uncorrected = 504 meV/atom
Energy above the lowest structure with this stoichiometry = 0.0 meV/atom
Total magnetization = 0.000 μB/cell

---

Entry 5:
A relaxed structure of TaGa2SiCl, computed with GGA-PBE.

Unit cell a=4.7230 b=4.7230 c=4.4986 alpha=90.00 beta=90.00 gamma=90.00
Last column: nearest neighbours and their distance in Å.
Space group P4/mmm (No. 123)
Symmetry-distinct sites (fractional):
Ta (0.0000, 0.0000, 0.0000) [1 per cell]  8 Ga 3.26, 4 Si 3.34
Ga (0.0000, 0.5000, 0.5000) [2 per cell]  2 Cl 2.36
Si (0.5000, 0.5000, 0.0000) [1 per cell]  2 Cl 2.25
Cl (0.5000, 0.5000, 0.5000) [1 per cell]  2 Si 2.25, 4 Ga 2.36

Results
Calculated density = 6.353 g cm⁻³
Volume = 100 Å³/cell
Energy relative to the elements, uncorrected = 1101 meV/atom
Total magnetization = 0.000 μB/cell

---

Entry 6:
A relaxed structure of TlGaSiCl2, computed with GGA-PBE.

Unit cell a=5.6473 b=5.6473 c=5.2498 alpha=90.00 beta=90.00 gamma=90.00
Last column: nearest neighbours and their distance in Å.
Space group P4/mmm (No. 123)
Symmetry-distinct sites (fractional):
Tl (0.0000, 0.0000, 0.0000) [1 per cell]  2 Si 2.62, 4 Cl 2.82
Ga (0.5000, 0.5000, 0.5000) [1 per cell]  8 Cl 3.86, 4 Si 3.99
Si (0.0000, 0.0000, 0.5000) [1 per cell]  2 Tl 2.62
Cl (0.0000, 0.5000, 0.0000) [2 per cell]  2 Tl 2.82

Results
Calculated density = 3.700 g cm⁻³
Volume = 167 Å³/cell
Energy relative to the elements, uncorrected = 219 meV/atom
Energy above the lowest structure with this stoichiometry = 428.4 meV/atom
Total magnetization = 1.604 μB/cell

---

Entry 7:
A relaxed structure of TlGaSiCl2, computed with GGA-PBE.

Unit cell a=5.0472 b=5.0472 c=5.1727 alpha=90.00 beta=90.00 gamma=90.00
Last column: nearest neighbours and their distance in Å.
Space group P4/mmm (No. 123)
Symmetry-distinct sites (fractional):
Tl (0.0000, 0.0000, 0.0000) [1 per cell]  4 Ga 3.57, 8 Cl 3.61
Ga (0.5000, 0.5000, 0.0000) [1 per cell]  2 Si 2.59
Si (0.5000, 0.5000, 0.5000) [1 per cell]  4 Cl 2.52, 2 Ga 2.59
Cl (0.0000, 0.5000, 0.5000) [2 per cell]  2 Si 2.52

Results
Calculated density = 4.702 g cm⁻³
Volume = 132 Å³/cell
Energy relative to the elements, uncorrected = -210 meV/atom
Energy above the lowest structure with this stoichiometry = 0.0 meV/atom
Total magnetization = 0.001 μB/cell

---

Entry 8:
A relaxed structure of ZrGaSi2Cl, computed with GGA-PBE.

Unit cell a=4.6064 b=4.6064 c=4.7922 alpha=90.00 beta=90.00 gamma=90.00
Last column: nearest neighbours and their distance in Å.
Space group P4/mmm (No. 123)
Symmetry-distinct sites (fractional):
Zr (0.0000, 0.0000, 0.0000) [1 per cell]  4 Ga 3.26, 8 Si 3.32
Ga (0.5000, 0.5000, 0.0000) [1 per cell]  2 Cl 2.40
Si (0.0000, 0.5000, 0.5000) [2 per cell]  2 Cl 2.30
Cl (0.5000, 0.5000, 0.5000) [1 per cell]  4 Si 2.30, 2 Ga 2.40

Results
Calculated density = 4.124 g cm⁻³
Volume = 102 Å³/cell
Energy relative to the elements, uncorrected = 694 meV/atom
Total magnetization = 0.000 μB/cell